Li2Al2Ga5 PBE relaxed; energy above the most stable polymorph in this dataset = 88.7 meV per atom; energy of formation from the pure elements = 3 meV per atom; space group = No. 12
1.0
4.3166 0.0000 0.0000
-2.1583 6.1953 -1.4224
0.0000 -2.4047 7.1328
Li Al Ga
2 2 5
Cartesian
0.0000 0.1876 5.5838
2.1583 3.6029 0.1265
0.0000 2.3895 3.7530
2.1583 1.4010 1.9573
2.1583 3.8841 2.8613
2.1583 -1.2252 6.1401
0.0000 5.0157 -0.4297
0.0000 -0.0936 2.8491
0.0000 0.0000 0.0000


KLa2Si PBE relaxed; formation energy without anion corrections = 0.039 eV/atom; space group = No. 71
1.0
7.4145 0.3357 0.2219
3.4709 6.5605 -0.2219
-4.5501 -4.8571 3.2927
Si K La
1 1 2
Cartesian
4.1536 -0.5366 1.7573
2.1818 2.5758 1.5354
6.2167 3.9384 0.0000
10.1115 6.4059 0.0000


RbCa2I PBE relaxed; energy above the most stable polymorph in this dataset = 144.7 meV per atom; formation energy without anion corrections = 0.006 eV/atom; space group = No. 225
1.0
0.0000 4.5855 4.5855
4.5855 0.0000 4.5855
4.5855 4.5855 0.0000
I Ca Rb
1 2 1
Cartesian
4.5855 4.5855 4.5855
6.8782 6.8782 6.8782
2.2927 2.2927 2.2927
0.0000 0.0000 0.0000


LiZnSn2 PBE relaxed; energy of formation from the pure elements = -83 meV per atom; space group = No. 123
1.0
3.7129 0.0000 0.0000
0.0000 3.7129 0.0000
0.0000 0.0000 6.2772
Sn Zn Li
2 1 1
Cartesian
0.0000 0.0000 4.7542
0.0000 0.0000 1.5230
1.8564 1.8564 0.0000
1.8564 1.8564 3.1386


MnCdCl6 PBE relaxed; energy above the most stable polymorph in this dataset = 43.5 meV per atom; formation energy without anion corrections = -0.839 eV/atom; space group = No. 148
1.0
-4.0505 3.6925 2.9585
-5.9572 0.1698 -1.8099
-4.5335 -2.8718 3.9345
Cl Mn Cd
6 1 1
Cartesian
-4.8491 1.6362 2.3377
-7.5057 0.2981 -0.1254
-9.6921 -0.6457 2.7455
-6.0433 -1.8926 2.5156
-7.0355 0.6925 5.2086
-8.4979 2.8832 2.5676
0.0000 0.0000 0.0000
-7.2706 0.4953 2.5416


LaAlFe4 PBE relaxed; energy of formation from the pure elements = 23 meV per atom; space group = No. 216
1.0
4.0377 -2.0265 -2.2760
2.8037 -3.4457 2.4200
-0.0952 -4.8345 -1.4861
Fe La Al
4 1 1
Cartesian
4.5596 -4.8757 -1.6503
2.4740 -6.2927 -1.2516
3.9369 -5.5919 0.7195
2.5220 -3.8531 -0.5017
5.0597 -7.7300 -1.0065
0.0000 0.0000 0.0000


Eu3B2O6 PBE relaxed; formation energy without anion corrections = -2.805 eV/atom; space group = No. 167
1.0
-4.5721 -0.9235 -4.8564
-5.0675 -1.5033 4.1715
-2.4849 6.2527 0.2652
O B Eu
12 4 6
Cartesian
-5.0827 0.2578 0.3878
-7.8646 -1.6928 -1.2905
-6.3915 -1.0322 2.7287
-7.0418 3.5681 -0.8075
-5.6225 0.6487 -4.1628
-4.3690 2.5512 0.6742
-5.7331 4.8581 -3.1484
-7.5388 2.2054 1.1282
-4.5857 1.6205 -1.5479
-6.5021 3.1772 3.7431
-4.2600 5.5188 0.8707
-7.7556 1.2747 -1.0939
-7.4650 2.3556 -0.2584
-1.4027 0.4426 -0.0486
-4.6596 1.4703 -0.1613
-10.7218 3.3833 -0.3712
-7.9251 -0.3436 0.9033
-5.2527 1.2785 2.7470
-6.8719 2.5475 -3.1667
-6.4210 4.4915 1.5290
-4.1995 4.1695 -1.3230
-5.7036 -0.6656 -1.9487


La6OsAu5 PBE relaxed; energy of formation from the pure elements = -653 meV per atom; space group = No. 71
1.0
-3.8948 3.3359 -1.1375
-1.9830 -4.2948 -5.8305
-1.9780 -3.6531 8.2004
Au Os La
5 1 6
Cartesian
-4.0948 -4.7556 0.0615
-3.2689 -2.7475 3.1356
-3.7611 0.1436 1.1710
-0.9915 -2.1474 -2.9152
-4.5869 -1.8646 -1.9032
0.0000 0.0000 0.0000
-5.8380 -2.2893 1.1444
-2.0179 -2.3228 0.0880
-3.0526 -4.5669 -2.9570
-2.4046 0.6831 -1.9083
-3.4733 -1.6420 -5.0597
-4.8033 -0.0451 4.1894


Mg12Tl6Sn PBE relaxed; energy above the most stable polymorph in this dataset = 0.0 meV per atom; energy of formation from the pure elements = 14 meV per atom; space group = No. 148
1.0
8.2507 -0.5973 -0.7156
-1.8412 8.0648 -0.7156
-1.8412 -2.1452 7.8071
Mg Tl Sn
12 6 1
Cartesian
5.0278 2.8251 2.2065
-1.6218 5.3905 4.9462
0.4642 6.3336 0.1884
4.1041 -1.0113 6.1876
2.0302 1.2064 5.7054
6.1900 -0.0682 1.4298
-1.0058 0.3153 6.2653
2.5380 4.1160 0.6706
3.6836 0.1000 3.2021
0.8846 5.2223 3.1739
5.5741 5.0070 0.1107
-0.4596 2.4972 4.1695
5.0685 2.0196 5.1844
-0.5003 3.3027 1.1916
1.2279 4.1510 6.1570
0.6514 -0.4062 3.4625
3.3404 1.1713 0.2190
3.9168 5.7286 2.9135
0.0000 0.0000 0.0000


CePrGdSn PBE relaxed; energy of formation from the pure elements = -211 meV per atom; space group = No. 216
1.0
5.4748 0.0000 0.0000
2.7374 4.7413 0.0000
2.7374 1.5804 4.4702
Gd Ce Sn Pr
1 1 1 1
Cartesian
0.0000 0.0000 0.0000
8.2122 4.7413 3.3526
2.7374 1.5804 1.1175
5.4748 3.1609 2.2351


Tb8CeEr2 PBE relaxed; energy above the most stable polymorph in this dataset = 0.0 meV per atom; energy of formation from the pure elements = 37 meV per atom; space group = No. 12
1.0
-4.8149 -1.3578 0.3760
0.1647 -2.6542 -7.4754
4.8040 -6.4085 4.9075
Tb Ce Er
8 1 2
Cartesian
-0.5295 -8.0051 -2.2207
1.5455 -4.7682 2.5721
-0.1833 -7.8404 2.8080
2.0499 -7.2441 0.0901
0.6834 -2.4154 0.0288
0.3371 -2.5801 -4.9999
-1.3917 -5.6522 -4.7640
-1.8960 -3.1763 -2.2820
-2.4074 -0.6789 0.1880
-1.0456 -5.4938 0.2399
1.1994 -4.9266 -2.4318


Pa2VGa5 PBE relaxed; energy of formation from the pure elements = -178 meV per atom; space group = No. 107
1.0
-5.3995 0.4997 -2.4678
3.8648 -3.6143 -2.7377
0.2752 -2.7077 5.2997
V Ga Pa
1 5 2
Cartesian
3.6861 -5.6288 2.2811
2.9013 -3.4483 -0.4069
0.7012 -4.3964 0.8090
1.0277 -1.5693 0.6360
1.3602 -3.0591 3.0440
-1.8393 -1.6114 -0.6397
-1.4758 -2.7630 2.0883
0.3190 -3.2162 -1.9305


Li3Zn3AgPd2 PBE relaxed; energy of formation from the pure elements = -364 meV per atom; space group = No. 189
1.0
2.7711 0.0000 0.0000
0.0000 7.4543 0.0000
0.0000 -3.7271 6.4556
Zn Pd Ag Li
3 2 1 3
Cartesian
0.0000 -1.4061 2.4354
0.0000 2.8122 0.0000
0.0000 2.3211 4.0202
1.3855 0.0000 4.3037
1.3855 3.7271 2.1519
0.0000 0.0000 0.0000
1.3855 5.1800 0.0000
1.3855 1.1371 1.9696
1.3855 -2.5900 4.4860


Sr3AsPt3 PBE relaxed; energy of formation from the pure elements = -826 meV per atom; space group = No. 12
1.0
-0.7145 0.2741 4.4063
4.7624 -1.6198 3.1426
4.2390 13.8274 2.0968
Pt Sr As
6 6 2
Cartesian
3.6778 10.3121 2.2245
7.9277 11.3545 5.1184
3.0386 5.8970 2.3955
4.6091 2.1696 7.4212
5.2483 6.5847 7.2502
0.3593 1.1271 4.5274
6.1320 9.7284 7.1980
2.1550 2.7533 2.4478
4.9601 12.4359 4.5699
3.3268 0.0458 5.0758
3.7696 8.1186 4.6454
4.5173 4.3631 5.0003
1.5659 5.6457 4.4419
6.7211 6.8360 5.2038


ErLu2Cd PBE relaxed; energy above the most stable polymorph in this dataset = 154.2 meV per atom; energy of formation from the pure elements = 12 meV per atom; space group = No. 225
1.0
5.3555 0.0000 0.0000
2.6778 4.6380 0.0000
2.6778 1.5460 4.3728
Lu Er Cd
2 1 1
Cartesian
2.6778 1.5460 1.0932
8.0333 4.6380 3.2796
0.0000 0.0000 0.0000
5.3555 3.0920 2.1864


NdSm5Tm12 PBE relaxed; energy of formation from the pure elements = 23 meV per atom; space group = No. 12
1.0
10.5855 0.0003 -0.0008
5.2928 9.1143 1.1157
0.0002 1.3035 5.9850
Tm Sm Nd
12 5 1
Cartesian
8.8054 4.3462 6.3562
7.0753 9.7654 4.1072
14.0973 6.0715 0.7436
7.0656 0.0009 0.0004
12.3617 6.7270 3.7341
8.8131 10.4173 7.0996
7.0733 6.0720 0.7438
8.8095 6.7275 3.7340
8.8034 0.6527 2.9927
7.0693 3.6906 3.3660
3.5170 3.6911 3.3659
1.7815 4.3467 6.3563
10.5861 3.6946 3.3618
10.5859 7.3790 6.7264
5.2929 0.6519 2.9921
5.2928 3.0391 0.3736
5.2926 6.7235 3.7381
0.0000 0.0000 0.0000


Y2Ga7Cu12 PBE relaxed; energy of formation from the pure elements = -190 meV per atom; space group = No. 147
1.0
3.8788 0.0000 0.0000
0.0000 8.5017 -4.9085
0.0000 0.0000 9.8169
Cu Ga Y
12 7 2
Cartesian
0.9399 3.6540 1.5748
0.9399 8.0386 0.9567
2.9881 2.2321 0.0799
2.9390 3.1908 7.4399
0.8907 1.1852 7.9238
2.9390 4.8478 3.3337
2.9881 7.3165 -3.0153
0.8907 6.2696 4.8286
2.9390 0.4632 3.9518
0.9398 5.3109 -2.5315
2.9881 7.4548 2.9355
0.8907 1.0469 1.9730
1.0138 3.4905 -0.8808
2.8650 5.0112 5.7893
1.0138 5.9936 2.3260
2.8650 0.9825 6.3536
1.9394 0.0000 0.0000
2.8650 2.5081 2.5825
1.0138 7.5192 -1.4451
0.9366 2.8339 4.9085
2.9422 5.6678 0.0000


PuPdRh4 PBE relaxed; energy of formation from the pure elements = -197 meV per atom; space group = No. 216
1.0
-3.6332 0.9737 3.6150
-1.1892 -3.6349 3.5482
1.3916 0.6657 4.9836
Pu Rh Pd
1 4 1
Cartesian
-0.8577 -0.4989 3.0367
-2.1455 -1.2480 7.5965
-0.3233 -1.7363 5.7834
-1.5491 0.5751 5.8169
-2.8435 -1.5819 5.0970
0.0000 0.0000 0.0000